Entry from Alexandria: a relaxed structure of Nd2SnS (PBE).

Lattice parameters (Å, degrees): 7.6285 7.6285 7.6285 32.34 32.34 32.34
Positions (direct):
Nd (0.2421, 0.2421, 0.2421)
Nd (0.7579, 0.7579, 0.7579)
Sn (0.0000, 0.0000, 0.0000)
S (0.5000, 0.5000, 0.5000)

The uncorrected formation energy comes out at -1322.2 meV per atom.